[1]
The following is a PBE-GGA calculation of an optimized crystal structure of CdPb2Br, from the Alexandria database.

The structure in POSCAR format:
```
CdPb2Br
1.0
-0.757 -4.589 -0.791
4.477 -0.938 1.155
-1.259 -4.139 11.151
Br Pb Cd
2 4 2
Cartesian
2.539 -3.920 6.244
1.860 -2.764 0.182
2.388 -2.200 3.410
0.457 -5.178 8.501
2.306 -7.940 8.681
-0.227 -4.015 2.439
-0.078 -5.746 5.271
0.000 0.000 0.000
```

Results
Offset from the most stable computed form = 0.48 eV per formula unit
Formation energy from raw total energies = -0.060 eV/atom

=====

[2]
The following is a PBE-GGA calculation of an optimized crystal structure of La2CeMg6, from the Alexandria database.

The structure in POSCAR format:
```
La2CeMg6
1.0
-3.302 0.371 0.071
-0.969 -9.015 1.946
-0.128 -2.853 8.823
Mg La Ce
6 2 1
Cartesian
-2.342 -6.792 4.257
-1.733 -1.725 5.940
-2.666 -9.773 4.900
-2.103 -5.649 9.502
-2.057 -4.706 6.584
-2.296 -5.848 1.339
-0.366 -3.956 3.590
-4.033 -7.542 7.251
0.000 0.000 0.000
```

Results
E_tot = -2.891 eV per atom

=====

[3]
The following is a PBE-GGA calculation of an optimized crystal structure of Fe2GeSe, from the Alexandria database.

The structure in POSCAR format:
```
Fe2GeSe
1.0
-4.745 0.584 -2.292
-2.297 0.086 4.777
-2.973 5.462 1.414
Ge Fe Se
2 4 2
Cartesian
-3.521 0.335 1.243
-4.396 2.942 3.717
-4.035 1.746 -0.501
-2.733 1.488 3.072
-4.851 4.347 1.953
-8.411 4.684 3.275
0.000 0.000 0.000
-5.619 3.191 0.182
```

Results
Offset from the most stable computed form = 0.78 eV per formula unit
Formation energy from raw total energies = 0.429 eV/atom

=====

[4]
The following is a PBE-GGA calculation of an optimized crystal structure of PRh3, from the Alexandria database.

The structure in POSCAR format:
```
PRh3
1.0
2.673 -3.667 0.000
2.673 3.667 0.000
0.000 0.000 2.815
Rh P
3 1
Cartesian
1.336 1.834 1.407
2.673 0.000 0.000
1.336 -1.834 1.407
0.000 0.000 0.000
```

Results
E_tot = -6.951 eV per atom

=====

[5]
The following is a PBE-GGA calculation of an optimized crystal structure of Pm4ThTl5, from the Alexandria database.

The structure in POSCAR format:
```
Pm4ThTl5
1.0
3.695 0.000 0.000
0.000 3.695 0.000
0.000 0.000 21.346
Th Tl Pm
1 5 4
Cartesian
0.000 0.000 0.000
1.848 1.848 10.673
1.848 1.848 19.136
1.848 1.848 6.445
1.848 1.848 2.210
1.848 1.848 14.901
0.000 0.000 4.311
0.000 0.000 8.554
0.000 0.000 12.792
0.000 0.000 17.036
```

Results
E_tot = -4.160 eV per atom

=====

[6]
The following is a PBE-GGA calculation of an optimized crystal structure of K4AsH5S3O16, from the Alexandria database.

The structure in POSCAR format:
```
K4AsH5S3O16
1.0
9.028 0.003 -0.011
4.314 9.363 0.001
4.305 1.631 9.942
O K H S As
32 8 10 6 2
Cartesian
7.645 8.249 3.756
13.352 4.423 6.641
14.193 5.378 8.729
14.582 8.709 8.545
3.258 2.755 3.780
8.999 8.336 1.681
10.001 2.748 6.176
5.715 3.397 3.711
7.439 7.754 7.318
3.064 2.288 1.387
10.208 3.242 2.614
7.152 4.842 1.791
12.619 8.065 1.470
9.567 6.839 3.538
7.876 2.182 2.361
9.893 9.270 3.761
1.838 0.921 2.981
5.028 2.932 8.463
11.931 7.600 6.222
4.294 6.574 3.291
14.388 8.241 6.152
5.547 2.541 1.022
12.100 8.455 8.911
5.612 6.813 1.208
8.080 4.157 6.394
8.648 2.661 8.251
9.771 8.814 7.571
3.453 5.619 1.203
7.753 1.727 6.172
10.494 6.155 8.141
15.809 10.075 6.951
12.035 4.184 8.724
11.166 5.071 4.933
9.707 5.519 0.983
10.966 1.810 9.810
7.940 5.478 8.949
6.480 5.926 5.000
6.681 9.186 0.122
12.681 9.368 4.018
4.965 1.629 5.914
11.473 5.016 8.478
4.556 2.439 1.319
6.173 5.980 1.454
10.496 1.912 6.474
4.715 3.169 3.600
13.090 8.558 8.613
7.150 9.085 3.458
12.932 7.827 6.332
8.795 2.647 2.440
8.851 8.349 7.493
2.335 2.295 2.697
4.144 6.751 1.834
9.128 8.182 3.142
15.312 8.701 7.235
13.502 4.246 8.098
8.518 2.815 6.790
11.071 7.672 7.744
6.575 3.325 2.189
```

Results
E_tot = -5.571 eV per atom

=====

[7]
The following is a PBE-GGA calculation of an optimized crystal structure of ZnAgPO2, from the Alexandria database.

The structure in POSCAR format:
```
ZnAgPO2
1.0
-2.702 -1.176 -2.650
-0.015 -3.617 1.620
-3.735 1.435 3.170
O P Zn Ag
2 1 1 1
Cartesian
-0.007 -1.808 0.810
-1.351 -0.588 -1.325
-1.867 0.718 1.585
-3.225 -1.679 1.070
0.000 0.000 0.000
```

Results
Offset from the most stable computed form = 1.71 eV per formula unit
Formation energy from raw total energies = 0.627 eV/atom

=====

[8]
The following is a PBE-GGA calculation of an optimized crystal structure of CeSm2Pt, from the Alexandria database.

The structure in POSCAR format:
```
CeSm2Pt
1.0
3.931 0.000 0.000
1.965 3.404 0.000
1.965 1.135 9.439
Sm Ce Pt
2 1 1
Cartesian
1.965 1.135 7.712
1.965 1.135 1.744
3.931 2.270 4.685
3.931 2.270 0.018
```

Results
Offset from the most stable computed form = 0.79 eV per formula unit

=====

[9]
The following is a PBE-GGA calculation of an optimized crystal structure of LuThSe, from the Alexandria database.

The structure in POSCAR format:
```
LuThSe
1.0
-2.812 2.038 0.970
-0.630 -2.196 2.789
5.416 3.498 1.648
Se Lu Th
1 1 1
Cartesian
2.399 2.220 2.290
-0.304 1.233 3.233
1.853 3.228 5.291
```

Results
Offset from the most stable computed form = 0.33 eV per formula unit
Formation energy from raw total energies = -0.809 eV/atom

=====

[10]
The following is a PBE-GGA calculation of an optimized crystal structure of ScCr2Ge2, from the Alexandria database.

The structure in POSCAR format:
```
ScCr2Ge2
1.0
7.256 0.000 0.000
0.000 7.256 0.000
0.000 0.000 2.852
Ge Sc Cr
4 2 4
Cartesian
2.318 1.310 1.426
4.938 5.946 1.426
5.946 2.318 1.426
1.310 4.938 1.426
3.628 3.628 0.000
0.000 0.000 0.000
2.846 6.474 0.000
6.474 4.410 0.000
0.782 2.846 0.000
4.410 0.782 0.000
```

Results
Offset from the most stable computed form = 1.04 eV per formula unit

=====

[11]
The following is a PBE-GGA calculation of an optimized crystal structure of KNaCd4, from the Alexandria database.

The structure in POSCAR format:
```
KNaCd4
1.0
-0.249 -3.459 -5.129
4.600 -3.932 -1.308
-0.931 -6.106 0.426
Cd K Na
4 1 1
Cartesian
2.609 -5.374 -3.976
2.266 -6.706 -1.181
-0.174 -6.468 -3.103
2.141 -8.447 -3.762
0.855 -3.374 -1.503
0.000 0.000 0.000
```

Results
E_tot = -1.122 eV per atom

=====

[12]
The following is a PBE-GGA calculation of an optimized crystal structure of KTl2InHg, from the Alexandria database.

The structure in POSCAR format:
```
KTl2InHg
1.0
-3.411 2.390 2.719
-3.191 -3.919 -0.558
5.743 -2.008 4.419
Tl Hg K In
2 1 1 1
Cartesian
0.258 -0.293 0.581
-0.735 0.094 3.544
-1.692 -2.591 4.703
2.134 -2.422 4.805
-0.646 -3.037 1.859
```

Results
Offset from the most stable computed form = 0.00 eV per formula unit

=====

[13]
The following is a PBE-GGA calculation of an optimized crystal structure of HoErIr2, from the Alexandria database.

The structure in POSCAR format:
```
HoErIr2
1.0
3.563 0.000 0.000
0.000 4.700 0.000
0.000 0.000 4.700
Ir Er Ho
2 1 1
Cartesian
0.000 2.350 0.000
0.000 0.000 2.350
1.782 0.000 0.000
1.782 2.350 2.350
```

Results
Offset from the most stable computed form = 0.00 eV per formula unit

=====

[14]
The following is a PBE-GGA calculation of an optimized crystal structure of Tb6SnRu2, from the Alexandria database.

The structure in POSCAR format:
```
Tb6SnRu2
1.0
7.849 0.356 -3.303
-4.469 7.036 -1.776
-0.015 -0.356 8.515
Tb Sn Ru
12 2 4
Cartesian
2.868 1.344 0.576
-2.830 5.692 0.647
0.961 2.213 3.861
6.195 1.344 2.790
-0.375 3.118 0.564
-2.717 6.608 4.084
0.496 5.692 2.861
6.081 0.428 -0.647
3.916 2.569 -2.699
3.739 3.918 2.873
-0.552 4.468 6.135
2.403 4.823 -0.424
-2.242 3.340 3.370
0.000 0.000 0.000
3.339 0.861 3.475
1.099 2.403 -1.651
2.281 4.989 -3.427
0.025 6.175 -0.038
```

Results
E_tot = -6.030 eV per atom

=====

[15]
The following is a PBE-GGA calculation of an optimized crystal structure of Na3P3H5N3O7, from the Alexandria database.

The structure in POSCAR format:
```
Na3P3H5N3O7
1.0
7.966 -0.055 0.007
-1.708 7.780 0.007
1.202 1.484 7.490
O Na P H N
14 6 6 10 6
Cartesian
5.557 3.473 5.942
-0.574 7.671 1.757
4.162 7.223 2.505
2.647 5.621 1.089
4.185 4.236 3.752
5.630 6.688 5.471
-0.556 4.513 1.796
5.216 3.053 1.561
1.054 6.772 3.752
2.087 2.313 2.033
-0.163 8.178 5.747
2.511 5.453 6.415
2.929 8.816 5.708
1.258 3.638 4.999
2.904 1.960 4.270
0.521 5.975 0.007
1.580 4.511 2.888
3.375 6.727 4.616
6.145 5.962 3.234
3.425 3.623 0.007
6.703 3.215 1.294
6.320 7.899 6.057
5.707 1.985 6.210
1.586 4.258 6.342
1.045 1.387 1.447
3.624 6.774 1.162
4.578 3.774 2.956
0.569 7.139 4.540
7.258 4.276 6.612
7.821 2.290 5.281
4.785 1.222 0.892
0.594 7.170 2.964
6.844 1.084 2.223
2.035 2.092 6.813
4.719 3.947 4.548
5.836 6.785 0.691
8.099 4.616 7.105
5.004 6.363 0.255
4.627 0.329 0.399
2.275 2.993 7.249
7.477 1.854 1.940
7.200 1.511 5.564
```

Results
E_tot = -6.055 eV per atom

=====

[16]
The following is a PBE-GGA calculation of an optimized crystal structure of La5Nd4Sc, from the Alexandria database.

The structure in POSCAR format:
```
La5Nd4Sc
1.0
-0.130 0.873 -3.518
-2.532 -11.038 -2.644
-6.168 9.460 4.444
Nd La Sc
4 5 1
Cartesian
-5.145 6.889 1.899
-6.869 1.704 -1.193
-3.686 -7.594 -3.617
-1.961 -2.409 -0.525
-1.331 -5.082 -3.081
-4.430 4.290 -0.642
-4.401 -4.995 -1.076
-5.531 -1.418 -2.017
-3.299 0.712 0.299
-0.065 0.436 -1.759
```

Results
Offset from the most stable computed form = 0.29 eV per formula unit